[1]
This record from Alexandria describes crystalline Nd3Sm2Mg at its relaxed geometry. The functional is PBE.

energy of formation from the pure elements = 0.01 eV/atom
magnetic moment = 0.00 μB per formula unit
D(E_F) = 1.278 states/eV/atom
polymorph energy (0 for the lowest one) = 0.000 eV/f.u.
theoretical density = 6.37 g/cm3

Cell: 5.0419 5.0612 8.1440 Å, 108.10 90.00 90.00°
Fractional coordinates of all 6 atoms:
1 Nd 0.5000 0.1681 0.3362
2 Nd 0.5000 0.5000 0.0000
3 Nd 0.5000 0.8319 0.6638
4 Sm 0.0000 0.6650 0.3300
5 Sm 0.0000 0.3350 0.6700
6 Mg 0.0000 0.0000 0.0000

[2]
This record from Alexandria describes crystalline SrLiErCl6 at its relaxed geometry. The functional is PBE.

magnetic moment = 0.00 μB per formula unit
D(E_F) = 0.000 states/eV/atom
raw total energy = -4.380 eV/atom
theoretical density = 3.16 g/cm3

Cell: 6.7234 6.7234 12.7282 Å, 90.00 90.00 120.00°
Fractional coordinates of all 18 atoms:
1 Sr 0.0000 0.0000 0.0000
2 Sr 0.0000 0.0000 0.5000
3 Li 0.3333 0.6667 0.2500
4 Li 0.6667 0.3333 0.7500
5 Er 0.6667 0.3333 0.2500
6 Er 0.3333 0.6667 0.7500
7 Cl 0.6431 0.6446 0.1344
8 Cl 0.0016 0.3569 0.1344
9 Cl 0.3569 0.0016 0.6344
10 Cl 0.9984 0.6431 0.8656
11 Cl 0.3554 0.3569 0.3656
12 Cl 0.0016 0.6446 0.3656
13 Cl 0.6446 0.0016 0.8656
14 Cl 0.6431 0.9984 0.3656
15 Cl 0.9984 0.3554 0.6344
16 Cl 0.3554 0.9984 0.1344
17 Cl 0.6446 0.6431 0.6344
18 Cl 0.3569 0.3554 0.8656

[3]
This record from Alexandria describes crystalline TaRe2Au at its relaxed geometry. The functional is PBE.

energy of formation from the pure elements = 0.19 eV/atom
magnetic moment = 0.00 μB per formula unit
D(E_F) = 0.533 states/eV/atom
polymorph energy (0 for the lowest one) = 0.495 eV/f.u.
theoretical density = 18.89 g/cm3

Cell: 2.7558 2.7558 9.2038 Å, 90.00 90.00 109.36°
Fractional coordinates of all 4 atoms:
1 Au 0.5000 0.5000 0.7500
2 Re 0.0000 0.0000 0.0115
3 Re 0.0000 0.0000 0.4885
4 Ta 0.5000 0.5000 0.2500

[4]
This record from Alexandria describes crystalline TmPIr3 at its relaxed geometry. The functional is PBE.

energy of formation from the pure elements = -0.79 eV/atom
magnetic moment = 0.00 μB per formula unit
D(E_F) = 0.742 states/eV/atom
theoretical density = 15.44 g/cm3

Cell: 3.9642 3.9641 6.0082 Å, 70.75 70.75 90.00°
Fractional coordinates of all 5 atoms:
1 Tm 0.3959 0.1994 0.9137
2 P 0.0211 0.8246 0.6629
3 Ir 0.6389 0.9426 0.4271
4 Ir 0.1392 0.4424 0.4271
5 Ir 0.8127 0.6161 0.0803